Entry 1:
Material: TmIn3
Method: DFT, PBE-GGA
State: relaxed

Cell: 4.615 4.615 4.615 Å, 90.00 90.00 90.00°
Space group Pm-3m (No. 221)
Unique sites:
Tm: 0.000 0.000 0.000 (multiplicity 1)
In: 0.000 0.500 0.500 (multiplicity 3)

Computed properties:
Its calculated total energy is -3.537 eV per atom. The value obtained for the density of states at the Fermi level is 0.4111 states/eV/atom. The calculation puts the magnetization at 0.000 μB/atom.

=====

Entry 2:
Material: Tm8In3
Method: DFT, PBE-GGA
State: relaxed

Cell: 9.8323 9.8323 12.5476 Å, 90.00 90.00 120.00°
Space group R-3 (No. 148, hexagonal axes)
Unique sites:
Tm: 0.0000 0.0000 0.1482 (multiplicity 6)
Tm: 0.0319 0.2326 0.6126 (multiplicity 18)
In: 0.0000 0.5000 0.5000 (multiplicity 9)

Computed properties:
Its calculated total energy is -3.893 eV per atom. The value obtained for the density of states at the Fermi level is 1.4902 states/eV/atom. The calculation puts the magnetization at 0.000 μB/atom.

=====

Entry 3:
Material: TmIn3
Method: DFT, PBE-GGA
State: relaxed

Cell: 3.568 10.795 5.372 Å, 90.00 90.00 90.00°
Space group Imm2 (No. 44)
Unique sites:
Tm: 0.000 0.000 0.000 (multiplicity 2)
In: 0.000 0.252 0.648 (multiplicity 4)
In: 0.000 0.500 0.008 (multiplicity 2)

Computed properties:
Its calculated total energy is -3.417 eV per atom. The value obtained for the density of states at the Fermi level is 0.5323 states/eV/atom. The calculation puts the magnetization at 0.000 μB/atom.

=====

Entry 4:
Material: Tm2In3
Method: DFT, PBE-GGA
State: relaxed

Cell: 7.450 7.450 4.575 Å, 90.00 90.00 90.00°
Space group P4/m (No. 83)
Unique sites:
Tm: 0.125 0.696 0.000 (multiplicity 4)
In: 0.000 0.000 0.500 (multiplicity 1)
In: 0.186 0.398 0.500 (multiplicity 4)
In: 0.500 0.500 0.000 (multiplicity 1)

Computed properties:
Its calculated total energy is -3.831 eV per atom. The value obtained for the density of states at the Fermi level is 0.6336 states/eV/atom. The calculation puts the magnetization at 0.000 μB/atom.

=====

Entry 5:
Material: Tm3In4
Method: DFT, PBE-GGA
State: relaxed

Cell: 13.9569 13.9569 6.3587 Å, 90.00 90.00 120.00°
Space group R-3 (No. 148, hexagonal axes)
Unique sites:
Tm: 0.0498 0.2205 0.2191 (multiplicity 18)
In: 0.0000 0.0000 0.0000 (multiplicity 3)
In: 0.0000 0.0000 0.5000 (multiplicity 3)
In: 0.0562 0.2611 0.7007 (multiplicity 18)

Computed properties:
Its calculated total energy is -3.877 eV per atom. The value obtained for the density of states at the Fermi level is 0.5938 states/eV/atom. The calculation puts the magnetization at 0.000 μB/atom.

=====

Entry 6:
Material: Tm8In
Method: DFT, PBE-GGA
State: relaxed

Cell: 10.417 10.417 4.833 Å, 90.00 90.00 90.00°
Space group I4/mmm (No. 139)
Unique sites:
Tm: 0.000 0.335 0.000 (multiplicity 8)
Tm: 0.163 0.163 0.500 (multiplicity 8)
In: 0.000 0.000 0.000 (multiplicity 2)

Computed properties:
Its calculated total energy is -4.353 eV per atom. The value obtained for the density of states at the Fermi level is 1.5376 states/eV/atom. The calculation puts the magnetization at 0.000 μB/atom.

=====

Entry 7:
Material: Tm7In3
Method: DFT, PBE-GGA
State: relaxed

Cell: 16.920 5.122 6.692 Å, 90.00 108.18 90.00°
Space group C2/m (No. 12)
Unique sites:
Tm: 0.000 0.000 0.000 (multiplicity 2)
Tm: 0.090 0.500 0.359 (multiplicity 4)
Tm: 0.124 0.500 0.893 (multiplicity 4)
Tm: 0.200 0.000 0.668 (multiplicity 4)
In: 0.000 0.000 0.500 (multiplicity 2)
In: 0.194 0.000 0.186 (multiplicity 4)

Computed properties:
Its calculated total energy is -4.252 eV per atom. The value obtained for the density of states at the Fermi level is 0.8217 states/eV/atom. The calculation puts the magnetization at 0.000 μB/atom.

=====

Entry 8:
Material: Tm5In
Method: DFT, PBE-GGA
State: relaxed

Cell: 3.512 3.512 14.005 Å, 90.00 90.00 90.00°
Space group P4/mmm (No. 123)
Unique sites:
Tm: 0.000 0.000 0.000 (multiplicity 1)
Tm: 0.000 0.000 0.350 (multiplicity 2)
Tm: 0.500 0.500 0.175 (multiplicity 2)
In: 0.500 0.500 0.500 (multiplicity 1)

Computed properties:
For the energy above the most stable polymorph in this dataset, the calculation gives 17 meV per atom. The value obtained for the density of states at the Fermi level is 0.9522 states/eV/atom. The calculation puts the magnetization at 0.000 μB/atom.